Below is an optimized crystal structure of BeInO2F, with properties calculated at the PBE level.

Output
- total magnetic moment (μB per formula unit) = 0.00
- raw formation energy (kJ/mol of formula units) = -823

a b c (Å): 3.7254 3.7254 3.2778
angles (deg): 90.00 90.00 90.00
With the nearest neighbours (Å) after each atom.
Space group P4/mmm (No. 123)
Inequivalent atoms, fractional coordinates:
Be (0.0000, 0.0000, 0.0000) x1  2 F 1.64
In (0.5000, 0.5000, 0.5000) x1  8 O 2.48, 4 F 2.63
O (0.0000, 0.5000, 0.0000) x2  2 Be 1.86
F (0.0000, 0.0000, 0.5000) x1  2 Be 1.64

Below is an optimized crystal structure of Sr2MgSnH, with properties calculated at the PBE level.

Output
- total magnetic moment (μB per formula unit) = 0.00
- total energy (eV/atom) = -2.855

a b c (Å): 5.1563 5.1563 4.8099
angles (deg): 90.00 90.00 90.00
With the nearest neighbours (Å) after each atom.
Space group P4/mmm (No. 123)
Inequivalent atoms, fractional coordinates:
Sr (0.0000, 0.5000, 0.0000) x2  2 H 2.58
Mg (0.0000, 0.0000, 0.5000) x1  2 H 2.40
Sn (0.5000, 0.5000, 0.5000) x1  8 Sr 3.53, 4 Mg 3.65
H (0.0000, 0.0000, 0.0000) x1  2 Mg 2.40, 4 Sr 2.58

Below is an optimized crystal structure of EuThPb2, with properties calculated at the PBE level.

Output
- total magnetic moment (μB per formula unit) = 7.28
- energy relative to the elements (meV/atom) = -287

a b c (Å): 7.9316 7.9316 7.9316
angles (deg): 90.00 90.00 90.00
With the nearest neighbours (Å) after each atom.
Space group Fm-3m (No. 225)
Inequivalent atoms, fractional coordinates:
Eu (0.0000, 0.0000, 0.0000) x4  8 Pb 3.43
Th (0.0000, 0.0000, 0.5000) x4  8 Pb 3.43
Pb (0.2500, 0.2500, 0.2500) x8  4 Th 3.43, 4 Eu 3.43

Below is an optimized crystal structure of Er3Ag2Au8, with properties calculated at the PBE level.

Output
- total magnetic moment (μB per formula unit) = 0.00
- energy relative to the elements (meV/atom) = -377

a b c (Å): 5.4734 5.4734 32.0822
angles (deg): 90.00 90.00 120.00
With the nearest neighbours (Å) after each atom.
Space group R-3m (No. 166, hexagonal axes)
Inequivalent atoms, fractional coordinates:
Er (0.0000, 0.0000, 0.0000) x3  6 Ag 3.31, 6 Au 3.58
Er (0.0000, 0.0000, 0.1898) x6  10 Au 2.93-3.13
Ag (0.0000, 0.0000, 0.3638) x6  4 Au 2.65-2.88
Au (0.0000, 0.0000, 0.2812) x6  1 Ag 2.65, 1 Er 2.93
Au (0.9998, 0.4999, 0.2279) x18  4 Au 2.73-2.74, 1 Ag 2.88, 2 Er 3.00

Below is an optimized crystal structure of Ta2AlPb, with properties calculated at the PBE level.

Output
- total magnetic moment (μB per formula unit) = 0.00
- energy relative to the elements (meV/atom) = 326

a b c (Å): 3.0896 3.0896 29.7413
angles (deg): 90.00 90.00 120.00
With the nearest neighbours (Å) after each atom.
Space group R3m (No. 160, hexagonal axes)
Inequivalent atoms, fractional coordinates:
Ta (0.0000, 0.0000, 0.0000) x3  9 Ta 2.95-3.09, 3 Pb 3.17
Ta (0.0000, 0.0000, 0.2544) x3  3 Al 2.81, 9 Ta 2.95-3.09
Al (0.0000, 0.0000, 0.5148) x3  3 Ta 2.81, 6 Al 3.09
Pb (0.0000, 0.0000, 0.7549) x3  6 Pb 3.09, 3 Ta 3.17, 3 Al 3.30

Below is an optimized crystal structure of ThFePd, with properties calculated at the PBE level.

Output
- total magnetic moment (μB per formula unit) = 1.74
- energy relative to the elements (meV/atom) = 51

a b c (Å): 10.2753 3.4127 7.1903
angles (deg): 90.00 90.00 90.00
With the nearest neighbours (Å) after each atom.
Space group Amm2 (No. 38)
Inequivalent atoms, fractional coordinates:
Th (0.1697, 0.0000, 0.0000) x4  1 Fe 2.46
Fe (0.0000, 0.0000, 0.7593) x2  2 Th 2.46
Fe (0.5000, 0.0000, 0.9929) x2  6 Pd 2.60-2.61
Pd (0.3644, 0.0000, 0.6853) x4  3 Fe 2.60-2.61, 1 Pd 2.79

Below is an optimized crystal structure of NaAlPO4F, with properties calculated at the PBE level.

Output
- total magnetic moment (μB per formula unit) = 0.00
- raw formation energy (kJ/mol of formula units) = -2072

a b c (Å): 6.5082 8.3117 6.9935
angles (deg): 90.00 115.70 90.00
With the nearest neighbours (Å) after each atom.
Space group C2/c (No. 15)
Inequivalent atoms, fractional coordinates:
Na (0.0000, 0.1681, 0.2500) x4  1 F 2.18, 4 O 2.33-2.43
Al (0.0000, 0.5000, 0.0000) x4  2 F 1.84, 4 O 1.91-1.92
P (0.0000, 0.1830, 0.7500) x4  4 O 1.55-1.56
O (0.0922, 0.2905, 0.6211) x8  1 P 1.56
O (0.1919, 0.0700, 0.8996) x8  1 P 1.55
F (0.0000, 0.4305, 0.2500) x4  2 Al 1.84

Below is an optimized crystal structure of PrMgSc2, with properties calculated at the PBE level.

Output
- total magnetic moment (μB per formula unit) = 0.00
- energy relative to the elements (meV/atom) = 91

a b c (Å): 3.3875 3.3875 32.7184
angles (deg): 90.00 90.00 120.00
With the nearest neighbours (Å) after each atom.
Space group R3m (No. 160, hexagonal axes)
Inequivalent atoms, fractional coordinates:
Pr (0.0000, 0.0000, 0.0000) x3  6 Pr 3.39, 6 Sc 3.49-3.52
Mg (0.0000, 0.0000, 0.1661) x3  6 Sc 3.21, 6 Mg 3.39
Sc (0.0000, 0.0000, 0.5773) x3  3 Mg 3.21, 6 Sc 3.39, 3 Pr 3.52
Sc (0.0000, 0.0000, 0.7551) x3  3 Mg 3.21, 6 Sc 3.39, 3 Pr 3.49